(1)
A relaxed structure of LaZn6Au3, computed with PBE.

Lattice parameters (Å, degrees): 6.9319 7.0385 8.6002 90.00 118.35 90.00
Last column: nearest neighbours and their distance in Å.
Atoms (fractional coordinates):
1 La 0.0000 0.0000 0.0000  6 Au 3.12-3.47, 4 Zn 3.16-3.31
2 La 0.0000 0.5000 0.5000  6 Au 3.12-3.47, 4 Zn 3.16-3.31
3 Zn 0.1565 0.0024 0.6621  5 Zn 2.60-2.90, 3 Au 2.71-2.85
4 Zn 0.1565 0.4976 0.1621  5 Zn 2.60-2.90, 3 Au 2.71-2.85
5 Zn 0.2500 0.1849 0.4023  2 Au 2.58-2.69, 3 Zn 2.65-2.87
6 Zn 0.2500 0.3151 0.9023  2 Au 2.58-2.69, 3 Zn 2.65-2.87
7 Zn 0.4987 0.7437 0.2479  4 Zn 2.65-2.78, 4 Au 2.76-2.86
8 Zn 0.4987 0.7563 0.7479  4 Zn 2.65-2.78, 4 Au 2.76-2.86
9 Zn 0.5013 0.2437 0.2521  4 Zn 2.65-2.78, 4 Au 2.76-2.86
10 Zn 0.5013 0.2563 0.7521  4 Zn 2.65-2.78, 4 Au 2.76-2.86
11 Zn 0.7500 0.6849 0.0977  2 Au 2.58-2.69, 3 Zn 2.65-2.87
12 Zn 0.7500 0.8151 0.5977  2 Au 2.58-2.69, 3 Zn 2.65-2.87
13 Zn 0.8435 0.5024 0.8379  5 Zn 2.60-2.90, 3 Au 2.71-2.85
14 Zn 0.8435 0.9976 0.3379  5 Zn 2.60-2.90, 3 Au 2.71-2.85
15 Au 0.2127 0.6802 0.8801  5 Zn 2.58-2.86, 1 Au 2.85
16 Au 0.2127 0.8198 0.3801  5 Zn 2.58-2.86, 1 Au 2.85
17 Au 0.5000 0.0000 0.0000  8 Zn 2.69-2.80, 2 Au 2.85
18 Au 0.5000 0.5000 0.5000  8 Zn 2.69-2.80, 2 Au 2.85
19 Au 0.7873 0.1802 0.6199  5 Zn 2.58-2.86, 1 Au 2.85
20 Au 0.7873 0.3198 0.1199  5 Zn 2.58-2.86, 1 Au 2.85

Computed properties:
- density (g/cm3) = 10.09
- SG = P2_1/c
- DOS at the Fermi energy (states/eV/cell) = 8.3
- energy of formation (eV/atom) = -0.313

---

(2)
A relaxed structure of LaZn5Au7, computed with PBE.

Lattice parameters (Å, degrees): 7.1467 7.1467 7.1467 135.98 96.44 99.71
Last column: nearest neighbours and their distance in Å.
Atoms (fractional coordinates):
1 La 0.0000 0.0000 0.0000  10 Au 3.09-3.37
2 Zn 0.0128 0.0150 0.5022  3 Zn 2.65-2.74, 7 Au 2.67-2.91
3 Zn 0.0128 0.5105 0.9977  3 Zn 2.65-2.74, 7 Au 2.67-2.91
4 Zn 0.2438 0.7438 0.5000  4 Zn 2.74, 6 Au 2.79-2.84
5 Zn 0.5128 0.0150 0.0023  3 Zn 2.65-2.74, 7 Au 2.67-2.91
6 Zn 0.5128 0.5105 0.4978  3 Zn 2.65-2.74, 7 Au 2.67-2.91
7 Au 0.2157 0.5194 0.6962  5 Zn 2.67-2.79, 1 Au 2.90
8 Au 0.3351 0.3351 0.0000  6 Zn 2.81, 1 Au 2.96, 1 La 3.09
9 Au 0.3444 0.0038 0.3407  5 Zn 2.74-2.86, 4 Au 2.95-3.03
10 Au 0.6563 0.6563 0.0000  5 Au 2.91-3.16, 4 Zn 2.91, 1 La 3.17
11 Au 0.6631 0.0038 0.6593  5 Zn 2.74-2.86, 4 Au 2.95-3.03
12 Au 0.7788 0.2788 0.5000  4 Zn 2.73, 6 Au 2.90-2.95
13 Au 0.8232 0.5194 0.3038  5 Zn 2.67-2.79, 1 Au 2.90

Computed properties:
- density (g/cm3) = 13.03
- SG = Imm2
- DOS at the Fermi energy (states/eV/cell) = 5.2
- energy of formation (eV/atom) = -0.364

---

(3)
A relaxed structure of LaZnAu2, computed with PBE.

Lattice parameters (Å, degrees): 7.9898 4.6129 5.6398 90.00 118.31 90.00
Last column: nearest neighbours and their distance in Å.
Atoms (fractional coordinates):
1 La 0.0000 0.0000 0.0000  4 Zn 3.13-3.24, 7 Au 3.19-3.21
2 La 0.5000 0.5000 0.0000  4 Zn 3.13-3.24, 7 Au 3.19-3.21
3 Zn 0.2100 0.0000 0.6307  3 Au 2.66
4 Zn 0.7100 0.5000 0.6307  3 Au 2.66
5 Au 0.0463 0.5000 0.6390  3 Zn 2.66
6 Au 0.2851 0.5000 0.3555  3 Zn 2.99-3.00, 3 Au 3.01, 4 La 3.19-3.20
7 Au 0.5463 0.0000 0.6390  3 Zn 2.66
8 Au 0.7851 0.0000 0.3555  3 Zn 2.99-3.00, 3 Au 3.01, 4 La 3.19-3.20

Computed properties:
- density (g/cm3) = 10.86
- SG = Cm
- DOS at the Fermi energy (states/eV/cell) = 6.6
- energy of formation (eV/atom) = -0.573

---

(4)
A relaxed structure of LaZnAu4, computed with PBE.

Lattice parameters (Å, degrees): 6.3242 6.3242 7.3353 104.44 104.44 67.14
Last column: nearest neighbours and their distance in Å.
Atoms (fractional coordinates):
1 La 0.1786 0.1786 0.2845  3 Au 3.06-3.14
2 La 0.8214 0.8214 0.7155  3 Au 3.06-3.14
3 Zn 0.4101 0.4101 0.7513  5 Au 2.51-2.70
4 Zn 0.5899 0.5899 0.2487  5 Au 2.51-2.70
5 Au 0.1635 0.1635 0.6949  1 Zn 2.51, 2 Au 2.80
6 Au 0.1685 0.6046 0.0643  2 Zn 2.65-2.83, 3 Au 2.78-2.82
7 Au 0.2997 0.7003 0.5000  2 Zn 2.70, 3 Au 2.80-2.82
8 Au 0.3954 0.8315 0.9357  2 Zn 2.65-2.83, 3 Au 2.78-2.82
9 Au 0.6046 0.1685 0.0643  2 Zn 2.65-2.83, 3 Au 2.78-2.82
10 Au 0.7003 0.2997 0.5000  2 Zn 2.70, 3 Au 2.80-2.82
11 Au 0.8315 0.3954 0.9357  2 Zn 2.65-2.83, 3 Au 2.78-2.82
12 Au 0.8365 0.8365 0.3051  1 Zn 2.51, 2 Au 2.80

Computed properties:
- density (g/cm3) = 12.77
- SG = C2/m
- DOS at the Fermi energy (states/eV/cell) = 4.9
- energy of formation (eV/atom) = -0.485